PBE+U TlCoF3, optimized geometry; symmetry = Pm-3m; total energy = -22.10 eV for the cell shown
1.0
4.178 0.000 0.000
0.000 4.178 0.000
0.000 0.000 4.178
Tl Co F
1 1 3
direct
0.000 0.000 0.000
0.500 0.500 0.500
0.000 0.500 0.500
0.500 0.000 0.500
0.500 0.500 0.000